TiZnCdIn | PBE | relaxed

a = 4.171 Å, b = 4.171 Å, c = 4.287 Å
α = 90.00°, β = 90.00°, γ = 90.00°
Positions (direct):
1 Zn 0.500 0.500 0.000
2 Cd 0.000 0.000 0.000
3 Ti 0.500 0.000 0.500
4 In 0.000 0.500 0.500

The formation energy comes out at -0.086 eV/atom. The volume is 75 Å³/f.u. As for the total energy: -13.2 eV for the cell shown. As for the space-group type: No. 47.